BaLi2LaCu | Alexandria via LeMat-Bulk | PBE | optimized geometry; crystal system = tetragonal; calculated formation energy = 0.13 eV/atom; M_tot = 0.00 μB per formula unit; SG = P4/mmm, No. 123; distance to the lowest polymorph of the same formula = 0 meV per atom
1.0
5.337 0.000 0.000
0.000 5.337 0.000
0.000 0.000 5.344
Ba Li La Cu
1 2 1 1
Direct
0.000 0.000 0.000
0.000 0.500 0.500
0.500 0.000 0.500
0.500 0.500 0.000
0.500 0.500 0.500